[1]
First-principles (PBE-GGA) data for a relaxed structure of La2CdAg, as listed in Alexandria via LeMat-Bulk.

Lattice parameters (Å, degrees): 8.6913 8.6913 6.5364 90.00 90.00 90.00
Closest atoms and distances in Å follow each position.
Space group I-42d (No. 122)
One atom of each set of equivalent atoms:
La: 0.2186 0.2500 0.1250  2 Ag 3.00, 2 La 3.31
Cd: 0.0000 0.0000 0.5000  2 Ag 3.27, 4 La 3.37
Ag: 0.0000 0.0000 0.0000  4 La 3.00, 2 Cd 3.27

Results
Energy of formation ... 0.02 eV/atom
DFT total energy ... -3.39 eV per atom

=====

[2]
First-principles (PBE-GGA) data for a relaxed structure of La4Cd3Ag2, as listed in Alexandria via LeMat-Bulk.

Lattice parameters (Å, degrees): 5.3385 5.3385 10.1741 90.00 90.00 120.00
Closest atoms and distances in Å follow each position.
Space group P-3m1 (No. 164)
One atom of each set of equivalent atoms:
La: 0.0000 0.0000 0.1595  1 La 3.25, 7 Cd 3.45-3.52, 3 Ag 3.45
La: 0.3333 0.6667 0.6257  4 Ag 3.15-3.20, 3 Cd 3.34
Cd: 0.0000 0.0000 0.5000  8 La 3.34-3.46, 6 Ag 3.63
Cd: 0.3333 0.6667 0.0082  1 Ag 3.08, 3 Cd 3.09, 3 La 3.45
Ag: 0.3333 0.6667 0.3110  1 Cd 3.08, 7 La 3.15-3.45

Results
Energy of formation ... -0.28 eV/atom
DFT total energy ... -3.41 eV per atom

=====

Q: Among the records above, which one has the highest energy of formation?
A: La2CdAg

=====

Please write out number 2 again, unchanged.
First-principles (PBE-GGA) data for a relaxed structure of La4Cd3Ag2, as listed in Alexandria via LeMat-Bulk.

Lattice parameters (Å, degrees): 5.3385 5.3385 10.1741 90.00 90.00 120.00
Closest atoms and distances in Å follow each position.
Space group P-3m1 (No. 164)
One atom of each set of equivalent atoms:
La: 0.0000 0.0000 0.1595  1 La 3.25, 7 Cd 3.45-3.52, 3 Ag 3.45
La: 0.3333 0.6667 0.6257  4 Ag 3.15-3.20, 3 Cd 3.34
Cd: 0.0000 0.0000 0.5000  8 La 3.34-3.46, 6 Ag 3.63
Cd: 0.3333 0.6667 0.0082  1 Ag 3.08, 3 Cd 3.09, 3 La 3.45
Ag: 0.3333 0.6667 0.3110  1 Cd 3.08, 7 La 3.15-3.45

Results
Energy of formation ... -0.28 eV/atom
DFT total energy ... -3.41 eV per atom

=====

Repeat the first record exactly.
First-principles (PBE-GGA) data for a relaxed structure of La2CdAg, as listed in Alexandria via LeMat-Bulk.

Lattice parameters (Å, degrees): 8.6913 8.6913 6.5364 90.00 90.00 90.00
Closest atoms and distances in Å follow each position.
Space group I-42d (No. 122)
One atom of each set of equivalent atoms:
La: 0.2186 0.2500 0.1250  2 Ag 3.00, 2 La 3.31
Cd: 0.0000 0.0000 0.5000  2 Ag 3.27, 4 La 3.37
Ag: 0.0000 0.0000 0.0000  4 La 3.00, 2 Cd 3.27

Results
Energy of formation ... 0.02 eV/atom
DFT total energy ... -3.39 eV per atom